--- A ---
## Cd2MoCl (PBE)

Data for a relaxed Cd2MoCl crystal.

volume	19.9	Å³ per atom
crystal system	orthorhombic

Cell and atoms, written as CIF:
```
data_Cd2MoCl
_cell_length_a 2.9262
_cell_length_b 4.8694
_cell_length_c 5.5989
_cell_angle_alpha 90.00
_cell_angle_beta 90.00
_cell_angle_gamma 90.00
_symmetry_space_group_name_H-M 'P m m m'
_symmetry_Int_Tables_number 47
_symmetry_space_group_name_Hall '-P 2 2'
loop_
_atom_site_label
_atom_site_type_symbol
_atom_site_fract_x
_atom_site_fract_y
_atom_site_fract_z
_atom_site_occupancy
Cd1 Cd 0.0000 0.0000 0.0000 1
Cd2 Cd 0.5000 0.5000 0.0000 1
Mo1 Mo 0.0000 0.5000 0.5000 1
Cl1 Cl 0.5000 0.0000 0.5000 1
```

--- B ---
## Cd2MoCl (PBE)

Data for a relaxed Cd2MoCl crystal.

volume	20.5	Å³ per atom
crystal system	tetragonal

Cell and atoms, written as CIF:
```
data_Cd2MoCl
_cell_length_a 4.0172
_cell_length_b 4.0172
_cell_length_c 10.1678
_cell_angle_alpha 90.00
_cell_angle_beta 90.00
_cell_angle_gamma 90.00
_symmetry_space_group_name_H-M 'I 4/m m m'
_symmetry_Int_Tables_number 139
_symmetry_space_group_name_Hall '-I 4 2'
loop_
_atom_site_label
_atom_site_type_symbol
_atom_site_fract_x
_atom_site_fract_y
_atom_site_fract_z
_atom_site_occupancy
Cd1 Cd 0.0000 0.5000 0.2500 1
Mo1 Mo 0.0000 0.0000 0.0000 1
Cl1 Cl 0.0000 0.0000 0.5000 1
```

Most stable pick: A. Distance to second place: 115 meV per atom.

--- A ---
## CdOsBr2 (PBE)

Data for a relaxed CdOsBr2 crystal.

volume	26.7	Å³ per atom
crystal system	monoclinic

Cell and atoms, written as CIF:
```
data_CdOsBr2
_cell_length_a 4.5027
_cell_length_b 3.2385
_cell_length_c 7.6564
_cell_angle_alpha 90.00
_cell_angle_beta 106.85
_cell_angle_gamma 90.00
_symmetry_space_group_name_H-M 'P 1 m 1'
_symmetry_Int_Tables_number 6
_symmetry_space_group_name_Hall 'P -2y'
loop_
_atom_site_label
_atom_site_type_symbol
_atom_site_fract_x
_atom_site_fract_y
_atom_site_fract_z
_atom_site_occupancy
Cd1 Cd 0.0000 0.0000 0.0000 1
Os1 Os 0.4654 0.5000 0.9297 1
Br1 Br 0.3382 0.0000 0.6718 1
Br2 Br 0.6317 0.5000 0.2666 1
```

--- B ---
## CdOsBr2 (PBE)

Data for a relaxed CdOsBr2 crystal.

volume	28.9	Å³ per atom
crystal system	monoclinic

Cell and atoms, written as CIF:
```
data_CdOsBr2
_cell_length_a 10.3514
_cell_length_b 3.2527
_cell_length_c 7.4239
_cell_angle_alpha 90.00
_cell_angle_beta 112.40
_cell_angle_gamma 90.00
_symmetry_space_group_name_H-M 'C 1 m 1'
_symmetry_Int_Tables_number 8
_symmetry_space_group_name_Hall 'C -2y'
loop_
_atom_site_label
_atom_site_type_symbol
_atom_site_fract_x
_atom_site_fract_y
_atom_site_fract_z
_atom_site_occupancy
Cd1 Cd 0.0000 0.0000 0.0000 1
Os1 Os 0.2674 0.0000 0.9998 1
Br1 Br 0.1768 0.5000 0.7160 1
Br2 Br 0.3316 0.5000 0.2837 1
```

Most stable pick: A. Distance to second place: 121 meV per atom.

--- A ---
## Zr2ScPt (PBE)

Data for a relaxed Zr2ScPt crystal.

volume	21.8	Å³ per atom
crystal system	trigonal

Cell and atoms, written as CIF:
```
data_Zr2ScPt
_cell_length_a 3.3003
_cell_length_b 3.3003
_cell_length_c 27.7165
_cell_angle_alpha 90.00
_cell_angle_beta 90.00
_cell_angle_gamma 120.00
_symmetry_space_group_name_H-M 'R 3 m'
_symmetry_Int_Tables_number 160
_symmetry_space_group_name_Hall 'R 3 -2"'
loop_
_atom_site_label
_atom_site_type_symbol
_atom_site_fract_x
_atom_site_fract_y
_atom_site_fract_z
_atom_site_occupancy
Zr1 Zr 0.0000 0.0000 0.0000 1
Zr2 Zr 0.0000 0.0000 0.2430 1
Sc1 Sc 0.0000 0.0000 0.4790 1
Pt1 Pt 0.0000 0.0000 0.7409 1
```

--- B ---
## Zr2ScPt (PBE)

Data for a relaxed Zr2ScPt crystal.

volume	20.8	Å³ per atom
crystal system	tetragonal

Cell and atoms, written as CIF:
```
data_Zr2ScPt
_cell_length_a 3.3525
_cell_length_b 3.3525
_cell_length_c 7.3878
_cell_angle_alpha 90.00
_cell_angle_beta 90.00
_cell_angle_gamma 90.00
_symmetry_space_group_name_H-M 'P 4 m m'
_symmetry_Int_Tables_number 99
_symmetry_space_group_name_Hall 'P 4 -2'
loop_
_atom_site_label
_atom_site_type_symbol
_atom_site_fract_x
_atom_site_fract_y
_atom_site_fract_z
_atom_site_occupancy
Zr1 Zr 0.0000 0.0000 0.0000 1
Zr2 Zr 0.5000 0.5000 0.2756 1
Sc1 Sc 0.5000 0.5000 0.7151 1
Pt1 Pt 0.0000 0.0000 0.4978 1
```

Most stable pick: B. Distance to second place: 235 meV per atom.

--- A ---
## Re2PBr (PBE)

Data for a relaxed Re2PBr crystal.

volume	15.2	Å³ per atom
crystal system	trigonal

Cell and atoms, written as CIF:
```
data_Re2PBr
_cell_length_a 2.9615
_cell_length_b 2.9615
_cell_length_c 24.0690
_cell_angle_alpha 90.00
_cell_angle_beta 90.00
_cell_angle_gamma 120.00
_symmetry_space_group_name_H-M 'R -3 m'
_symmetry_Int_Tables_number 166
_symmetry_space_group_name_Hall '-R 3 2"'
loop_
_atom_site_label
_atom_site_type_symbol
_atom_site_fract_x
_atom_site_fract_y
_atom_site_fract_z
_atom_site_occupancy
Re1 Re 0.0000 0.0000 0.2412 1
P1 P 0.0000 0.0000 0.5000 1
Br1 Br 0.0000 0.0000 0.0000 1
```

--- B ---
## Re2PBr (PBE)

Data for a relaxed Re2PBr crystal.

volume	15.0	Å³ per atom
crystal system	monoclinic

Cell and atoms, written as CIF:
```
data_Re2PBr
_cell_length_a 4.2522
_cell_length_b 2.9689
_cell_length_c 5.2127
_cell_angle_alpha 90.00
_cell_angle_beta 113.85
_cell_angle_gamma 90.00
_symmetry_space_group_name_H-M 'P 1 2/m 1'
_symmetry_Int_Tables_number 10
_symmetry_space_group_name_Hall '-P 2y'
loop_
_atom_site_label
_atom_site_type_symbol
_atom_site_fract_x
_atom_site_fract_y
_atom_site_fract_z
_atom_site_occupancy
Re1 Re 0.0000 0.0000 0.0000 1
Re2 Re 0.0000 0.5000 0.5000 1
P1 P 0.5000 0.0000 0.5000 1
Br1 Br 0.5000 0.5000 0.0000 1
```

Most stable pick: A. Distance to second place: 253 meV per atom.

--- A ---
## MnTcSe2 (PBE)

Data for a relaxed MnTcSe2 crystal.

volume	18.2	Å³ per atom
crystal system	orthorhombic

Cell and atoms, written as CIF:
```
data_MnTcSe2
_cell_length_a 3.3498
_cell_length_b 5.7117
_cell_length_c 7.6288
_cell_angle_alpha 90.00
_cell_angle_beta 90.00
_cell_angle_gamma 90.00
_symmetry_space_group_name_H-M 'C m m m'
_symmetry_Int_Tables_number 65
_symmetry_space_group_name_Hall '-C 2 2'
loop_
_atom_site_label
_atom_site_type_symbol
_atom_site_fract_x
_atom_site_fract_y
_atom_site_fract_z
_atom_site_occupancy
Mn1 Mn 0.0000 0.0000 0.0000 1
Tc1 Tc 0.0000 0.0000 0.5000 1
Se1 Se 0.0000 0.5000 0.2527 1
```

--- B ---
## MnTcSe2 (PBE)

Data for a relaxed MnTcSe2 crystal.

volume	22.7	Å³ per atom
crystal system	monoclinic

Cell and atoms, written as CIF:
```
data_MnTcSe2
_cell_length_a 8.5822
_cell_length_b 3.4045
_cell_length_c 6.2979
_cell_angle_alpha 90.00
_cell_angle_beta 99.15
_cell_angle_gamma 90.00
_symmetry_space_group_name_H-M 'C 1 m 1'
_symmetry_Int_Tables_number 8
_symmetry_space_group_name_Hall 'C -2y'
loop_
_atom_site_label
_atom_site_type_symbol
_atom_site_fract_x
_atom_site_fract_y
_atom_site_fract_z
_atom_site_occupancy
Mn1 Mn 0.0000 0.0000 0.0000 1
Tc1 Tc 0.2252 0.5000 0.0883 1
Se1 Se 0.2123 0.0000 0.8000 1
Se2 Se 0.4625 0.0000 0.2751 1
```

Most stable pick: B. Distance to second place: 439 meV per atom.